LiMgNb (PBE-GGA, relaxed); formation enthalpy at 0 K = 0.77 eV/f.u.; energy = -4.271 eV per atom; space-group type = P1, No. 1; relative energy among the computed polymorphs = 0.27 eV/f.u.
1.0
7.4411 -0.0278 0.0253
-0.5106 2.7262 -0.0222
1.4585 -0.6647 5.6459
Li Nb Mg
2 2 2
Direct
0.6646 0.7779 0.1406
0.3419 0.9664 0.9867
0.6912 0.2923 0.6174
0.9869 0.7173 0.3520
0.3375 0.5020 0.4870
0.9921 0.1271 0.8587